Record 1
TlPt2Pb2: optimized geometry, PBE-GGA.

Spin magnetization   0.000 μB per formula unit
DOS(E_F)   1.6 states/eV/f.u.
Energy relative to the elements   -0.139 eV per atom

abc: 5.616 4.369 10.165
angles: 90.00 95.43 90.00
Space group P2_1/m (No. 11)
One atom of each set of equivalent atoms:
Tl  0.115  0.250  0.289
Pt  0.167  0.750  0.493
Pt  0.264  0.750  0.137
Pb  0.250  0.250  0.957
Pb  0.392  0.250  0.626

=====

Record 2
TlPtPb3: optimized geometry, PBE-GGA.

Spin magnetization   0.000 μB per formula unit
DOS(E_F)   1.7 states/eV/f.u.
Energy relative to the elements   -0.104 eV per atom
Excess energy over the best structure of this formula in the dataset   0.0000 eV per atom

abc: 8.238 4.488 8.782
angles: 90.00 115.29 90.00
Space group P2_1/m (No. 11)
One atom of each set of equivalent atoms:
Tl  0.162  0.250  0.276
Pt  0.405  0.750  0.892
Pb  0.167  0.750  0.549
Pb  0.198  0.250  0.911
Pb  0.480  0.750  0.259

=====

For reference, energy by record: -4.511, -4.010 eV per atom.